A) VASP calculation (PBE) on a relaxed structure of TcHRh2W.

Unit cell a=3.849 b=3.849 c=4.099 alpha=90.00 beta=90.00 gamma=90.00
Fractional positions:
Tc: 0.500 0.500 0.500
Rh: 0.500 0.000 0.000
Rh: 0.000 0.500 0.000
W: 0.000 0.000 0.500
H: 0.000 0.000 0.000

## Properties
Volume = 12.1 Å³/atom
Space-group type = P4/mmm (123)
Density of states at the Fermi level = 3.294 states/eV/f.u.


B) VASP calculation (PBE) on a relaxed structure of TcHRh2W.

Unit cell a=3.862 b=3.862 c=4.053 alpha=90.00 beta=90.00 gamma=90.00
Fractional positions:
H: 0.000 0.000 0.000
Rh: 0.500 0.000 0.000
Rh: 0.000 0.500 0.000
W: 0.500 0.500 0.500
Tc: 0.000 0.000 0.500

## Properties
Volume = 12.1 Å³/atom
Space-group type = P4/mmm (123)
Density of states at the Fermi level = 2.107 states/eV/f.u.


It is B) that is the most stable of them.


A) VASP calculation (PBE) on a relaxed structure of TeHRh2.

Unit cell a=4.452 b=4.452 c=5.087 alpha=64.05 beta=64.05 gamma=60.00
Fractional positions:
Rh: 0.873 0.873 0.381
Rh: 0.127 0.127 0.619
Te: 0.500 0.500 0.500
H: 0.000 0.000 0.000

## Properties
Volume = 18.8 Å³/atom
Space-group type = R-3m (166)
Density of states at the Fermi level = 1.989 states/eV/f.u.


B) VASP calculation (PBE) on a relaxed structure of TeHRh2.

Unit cell a=4.316 b=4.316 c=4.316 alpha=60.00 beta=60.00 gamma=60.00
Fractional positions:
Rh: 0.750 0.750 0.750
Rh: 0.250 0.250 0.250
Te: 0.500 0.500 0.500
H: 0.000 0.000 0.000

## Properties
Volume = 14.2 Å³/atom
Space-group type = Fm-3m (225)
Density of states at the Fermi level = 5.288 states/eV/f.u.


It is A) that is the most stable of them.


A) VASP calculation (PBE) on a relaxed structure of TeH2Rh2.

Unit cell a=3.275 b=3.275 c=5.850 alpha=73.75 beta=73.75 gamma=90.00
Fractional positions:
H: 0.250 0.750 0.500
H: 0.750 0.250 0.500
Rh: 0.657 0.657 0.687
Rh: 0.343 0.343 0.313
Te: 0.000 0.000 0.000

## Properties
Volume = 11.5 Å³/atom
Space-group type = I4/mmm (139)
Density of states at the Fermi level = 1.586 states/eV/f.u.


B) VASP calculation (PBE) on a relaxed structure of TeH2Rh2.

Unit cell a=6.751 b=6.751 c=2.921 alpha=90.00 beta=90.00 gamma=90.00
Fractional positions:
Rh: 0.636 0.136 0.000
Rh: 0.864 0.636 0.000
Rh: 0.136 0.364 0.000
Rh: 0.364 0.864 0.000
H: 0.942 0.442 0.500
H: 0.058 0.558 0.500
H: 0.442 0.058 0.500
H: 0.558 0.942 0.500
Te: 0.000 0.000 0.000
Te: 0.500 0.500 0.000

## Properties
Volume = 13.3 Å³/atom
Space-group type = P4/mbm (127)
Density of states at the Fermi level = 3.521 states/eV/f.u.


It is A) that is the most stable of them.


A) VASP calculation (PBE) on a relaxed structure of TeH2Rh.

Unit cell a=4.020 b=4.020 c=4.020 alpha=60.00 beta=60.00 gamma=60.00
Fractional positions:
Rh: 0.000 0.000 0.000
H: 0.750 0.750 0.750
H: 0.250 0.250 0.250
Te: 0.500 0.500 0.500

## Properties
Volume = 11.5 Å³/atom
Space-group type = Fm-3m (225)
Density of states at the Fermi level = 1.423 states/eV/f.u.


B) VASP calculation (PBE) on a relaxed structure of TeH2Rh.

Unit cell a=4.123 b=4.123 c=6.449 alpha=71.36 beta=71.36 gamma=90.00
Fractional positions:
H: 0.375 0.625 0.250
H: 0.875 0.625 0.750
H: 0.375 0.625 0.750
H: 0.375 0.125 0.250
Te: 0.750 0.250 0.500
Te: 0.000 0.000 0.000
Rh: 0.500 0.500 0.000
Rh: 0.250 0.750 0.500

## Properties
Volume = 12.2 Å³/atom
Space-group type = I4_1/amd (141)
Density of states at the Fermi level = 1.789 states/eV/f.u.


It is B) that is the most stable of them.


A) VASP calculation (PBE) on a relaxed structure of Te3HRh.

Unit cell a=5.266 b=5.266 c=5.266 alpha=90.00 beta=90.00 gamma=90.00
Each line ends with the local moment (μB).
Fractional positions:
Te: 0.000 0.500 0.000  0.03
Te: 0.500 0.000 0.000  0.01
Te: 0.000 0.000 0.500  0.02
Rh: 0.000 0.000 0.000  -0.01
H: 0.500 0.500 0.500  0.35

## Properties
Volume = 29.2 Å³/atom
Space-group type = Pm-3m (221)
Density of states at the Fermi level = 8.425 states/eV/f.u.


B) VASP calculation (PBE) on a relaxed structure of Te3HRh.

Unit cell a=4.606 b=4.606 c=4.606 alpha=90.00 beta=90.00 gamma=90.00
Fractional positions:
H: 0.000 0.000 0.000
Te: 0.000 0.500 0.000
Te: 0.000 0.000 0.500
Te: 0.500 0.000 0.000
Rh: 0.500 0.500 0.500

## Properties
Volume = 19.5 Å³/atom
Space-group type = Pm-3m (221)
Density of states at the Fermi level = 4.058 states/eV/f.u.


It is A) that is the most stable of them.


A) VASP calculation (PBE) on a relaxed structure of ThH2Rh.

Unit cell a=4.258 b=4.258 c=4.315 alpha=60.44 beta=60.44 gamma=60.00
Fractional positions:
Th: 0.500 0.500 0.500
H: 0.840 0.840 0.479
H: 0.160 0.160 0.521
Rh: 0.000 0.000 0.000

## Properties
Volume = 13.9 Å³/atom
Space-group type = R-3m (166)
Density of states at the Fermi level = 1.183 states/eV/f.u.


B) VASP calculation (PBE) on a relaxed structure of ThH2Rh.

Unit cell a=4.238 b=3.836 c=6.611 alpha=106.79 beta=90.00 gamma=90.00
Fractional positions:
H: 0.750 0.744 0.489
H: 0.750 0.559 0.117
H: 0.250 0.441 0.883
H: 0.250 0.256 0.511
Th: 0.250 0.643 0.287
Th: 0.750 0.357 0.713
Rh: 0.750 0.073 0.147
Rh: 0.250 0.927 0.853

## Properties
Volume = 12.9 Å³/atom
Space-group type = P2_1/m (11)
Density of states at the Fermi level = 0.630 states/eV/f.u.


It is B) that is the most stable of them.